No. 1
Density functional theory data (GGA-PBE) for TaV2HRh after structural relaxation.

Structure (extended XYZ):
```
5
Lattice="-0.269 -1.540 3.428 2.128 -2.895 -1.134 3.575 2.140 1.242" Properties=species:S:1:pos:R:3 pbc="T T T"
V -0.135 -0.770 1.714
V 1.064 -1.448 -0.567
Rh 1.787 1.070 0.621
Ta 2.717 -1.148 1.768
H 0.000 0.000 0.000
```

Values from the calculation:
E above lowest polymorph, eV/f.u.: 0.16
SG: P4/mmm, No. 123

No. 2
Density functional theory data (GGA-PBE) for TaV2HRh after structural relaxation.

Structure (extended XYZ):
```
5
Lattice="-3.381 1.661 -0.489 -1.654 -3.416 -0.167 -0.577 0.073 4.235" Properties=species:S:1:pos:R:3 pbc="T T T"
H 0.000 0.000 0.000
Ta -0.288 0.036 2.118
V -1.691 0.830 -0.245
V -0.827 -1.708 -0.083
Rh -2.806 -0.841 1.790
```

Values from the calculation:
E above lowest polymorph, eV/f.u.: 0.00
SG: P4/mmm, No. 123

No. 3
Density functional theory data (GGA-PBE) for TaVHRh2 after structural relaxation.

Structure (extended XYZ):
```
5
Lattice="3.906 0.000 0.000 0.000 3.906 0.000 0.000 0.000 4.045" Properties=species:S:1:pos:R:3 pbc="T T T"
Rh 1.953 0.000 0.000
Rh 0.000 1.953 0.000
H 0.000 0.000 0.000
V 1.953 1.953 2.023
Ta 0.000 0.000 2.023
```

Values from the calculation:
E above lowest polymorph, eV/f.u.: 0.33
SG: P4/mmm, No. 123

No. 4
Density functional theory data (GGA-PBE) for TaVHRh2 after structural relaxation.

Structure (extended XYZ):
```
5
Lattice="-3.887 -0.027 0.535 0.535 -0.413 3.865 0.030 3.952 0.419" Properties=species:S:1:pos:R:3 pbc="T T T"
Rh 0.268 -0.207 1.932
Rh -1.943 -0.013 0.268
V 0.015 1.976 0.209
Ta -1.661 1.756 2.409
H 0.000 0.000 0.000
```

Values from the calculation:
E above lowest polymorph, eV/f.u.: 0.00
SG: P4/mmm, No. 123

No. 5
Density functional theory data (GGA-PBE) for TaV2HRh after structural relaxation.

Structure (extended XYZ):
```
5
Lattice="-2.232 2.709 -2.272 1.470 -1.259 -2.946 -3.076 -2.813 -0.333" Properties=species:S:1:pos:R:3 pbc="T T T"
V -1.538 -1.406 -0.166
V -1.116 1.355 -1.136
H 0.000 0.000 0.000
Ta -1.919 -0.681 -2.775
Rh 0.735 -0.630 -1.473
```

Values from the calculation:
E above lowest polymorph, eV/f.u.: 0.17
SG: P4/mmm, No. 123

No. 6
Density functional theory data (GGA-PBE) for Ta2HRhW after structural relaxation.

Structure (extended XYZ):
```
5
Lattice="4.308 0.000 0.000 0.000 4.308 0.000 0.000 0.000 3.722" Properties=species:S:1:pos:R:3 pbc="T T T"
H 0.000 0.000 0.000
Ta 2.154 0.000 0.000
Ta 0.000 2.154 0.000
W 0.000 0.000 1.861
Rh 2.154 2.154 1.861
```

Values from the calculation:
E above lowest polymorph, eV/f.u.: 0.37
SG: P4/mmm, No. 123

No. 7
Density functional theory data (GGA-PBE) for Ta2HRhW after structural relaxation.

Structure (extended XYZ):
```
5
Lattice="-0.232 -1.553 -4.144 0.163 -4.150 1.546 -3.505 -0.057 0.217" Properties=species:S:1:pos:R:3 pbc="T T T"
Rh -1.752 -0.028 0.109
W -1.787 -2.880 -1.190
Ta -0.116 -0.776 -2.072
Ta 0.082 -2.075 0.773
H 0.000 0.000 0.000
```

Values from the calculation:
E above lowest polymorph, eV/f.u.: 0.00
SG: P4/mmm, No. 123

No. 8
Density functional theory data (GGA-PBE) for TaHRhW2 after structural relaxation.

Structure (extended XYZ):
```
5
Lattice="3.986 0.000 0.000 0.000 3.986 0.000 0.000 0.000 4.202" Properties=species:S:1:pos:R:3 pbc="T T T"
Rh 1.993 1.993 2.101
Ta 0.000 0.000 2.101
W 1.993 0.000 0.000
W 0.000 1.993 0.000
H 0.000 0.000 0.000
```

Values from the calculation:
E above lowest polymorph, eV/f.u.: 0.01
SG: P4/mmm, No. 123

No. 9
Density functional theory data (GGA-PBE) for TaHRhW2 after structural relaxation.

Structure (extended XYZ):
```
5
Lattice="-0.474 3.032 2.517 -2.579 -2.156 2.111 3.184 -1.478 2.380" Properties=species:S:1:pos:R:3 pbc="T T T"
W -0.237 1.516 1.259
W -1.289 -1.078 1.056
Rh 1.592 -0.739 1.190
H 0.000 0.000 0.000
Ta 0.066 -0.301 3.504
```

Values from the calculation:
E above lowest polymorph, eV/f.u.: 0.00
SG: P4/mmm, No. 123

No. 10
Density functional theory data (GGA-PBE) for Zr2TaHRh after structural relaxation.

Structure (extended XYZ):
```
5
Lattice="-4.430 1.452 -0.688 -1.523 -4.437 0.444 -0.385 0.482 3.495" Properties=species:S:1:pos:R:3 pbc="T T T"
Zr -0.762 -2.218 0.222
Zr -2.215 0.726 -0.344
Rh -0.193 0.241 1.747
H 0.000 0.000 0.000
Ta -3.169 -1.252 1.625
```

Values from the calculation:
E above lowest polymorph, eV/f.u.: 0.05
SG: P4/mmm, No. 123

No. 11
Density functional theory data (GGA-PBE) for ZrTaHRh2 after structural relaxation.

Structure (extended XYZ):
```
5
Lattice="-2.994 -2.479 1.326 2.346 -1.136 3.174 -1.544 3.063 2.238" Properties=species:S:1:pos:R:3 pbc="T T T"
Ta -0.772 1.531 1.119
H 0.000 0.000 0.000
Rh 1.173 -0.568 1.587
Rh -1.497 -1.239 0.663
Zr -1.096 -0.276 3.369
```

Values from the calculation:
SG: P4/mmm, No. 123

No. 12
Density functional theory data (GGA-PBE) for ZrTaHRh2 after structural relaxation.

Structure (extended XYZ):
```
5
Lattice="4.082 0.000 0.000 0.000 4.082 0.000 0.000 0.000 4.137" Properties=species:S:1:pos:R:3 pbc="T T T"
Zr 0.000 0.000 2.068
Ta 2.041 2.041 2.068
Rh 2.041 0.000 0.000
Rh 0.000 2.041 0.000
H 0.000 0.000 0.000
```

Values from the calculation:
SG: P4/mmm, No. 123

Across the entries above, Fermi-level density of states takes the values 0.851, 0.851, 0.661, 0.688, 0.719, 0.789, 0.674, 1.012, 0.827, 1.171, 0.896, 0.838 states/eV/atom, respectively.
Across the entries above, total DFT energy (no corrections) takes the values -41.42, -41.58, -40.43, -40.76, -41.41, -47.76, -48.13, -48.26, -48.27, -41.02, -40.33, -40.34 eV for the cell shown, respectively.